Record 1
# Y2PtAu2, relaxed, DFT PBE-GGA
# Energy relative to the lowest polymorph listed for this composition in eV per atom: 0.243
# Formation energy in eV per atom: -0.58
# Total magnetic moment in Bohr magnetons per cell: 0.00
data_Y2PtAu2
_chemical_formula_sum 'Y4 Pt2 Au4'
_cell_length_a 5.533
_cell_length_b 5.533
_cell_length_c 7.985
_cell_angle_alpha 90.00
_cell_angle_beta 90.00
_cell_angle_gamma 90.00
_symmetry_space_group_name_H-M 'I 4/m m m'
_symmetry_Int_Tables_number 139
_symmetry_space_group_name_Hall '-I 4 2'
loop_
_atom_site_label
_atom_site_type_symbol
_atom_site_fract_x
_atom_site_fract_y
_atom_site_fract_z
Y1 Y 0.000 0.500 0.250
Pt1 Pt 0.000 0.000 0.000
Au1 Au 0.000 0.000 0.341


Record 2
# FeAg2Pd6, relaxed, DFT PBE-GGA
# Formation energy in eV per atom: 0.05
# Total magnetic moment in Bohr magnetons per cell: 18.09
data_FeAg2Pd6
_chemical_formula_sum 'Fe4 Ag8 Pd24'
_cell_length_a 9.880
_cell_length_b 11.128
_cell_length_c 5.300
_cell_angle_alpha 90.00
_cell_angle_beta 95.70
_cell_angle_gamma 90.00
_symmetry_space_group_name_H-M 'C 1 2/c 1'
_symmetry_Int_Tables_number 15
loop_
_symmetry_equiv_pos_as_xyz
'x,y,z'
'-x,-y,-z'
'-x,y,-z+1/2'
'x,-y,z+1/2'
'x+1/2,y+1/2,z'
'-x+1/2,-y+1/2,-z'
'-x+1/2,y+1/2,-z+1/2'
'x+1/2,-y+1/2,z+1/2'
loop_
_atom_site_label
_atom_site_type_symbol
_atom_site_fract_x
_atom_site_fract_y
_atom_site_fract_z
Fe1 Fe 0.000 0.096 0.250
Ag1 Ag 0.131 0.485 0.390
Pd1 Pd 0.013 0.287 0.998
Pd2 Pd 0.138 0.091 0.796
Pd3 Pd 0.237 0.190 0.274


Record 3
# ZrCl3, relaxed, DFT PBE-GGA
# E_form (uncorrected) in eV per atom: -0.82
# Total magnetic moment in Bohr magnetons per cell: 3.99
data_ZrCl3
_chemical_formula_sum 'Zr4 Cl12'
_cell_length_a 6.736
_cell_length_b 6.736
_cell_length_c 6.736
_cell_angle_alpha 90.00
_cell_angle_beta 90.00
_cell_angle_gamma 90.00
_symmetry_space_group_name_H-M 'F m -3 m'
_symmetry_Int_Tables_number 225
_symmetry_space_group_name_Hall '-F 4 2 3'
loop_
_atom_site_label
_atom_site_type_symbol
_atom_site_fract_x
_atom_site_fract_y
_atom_site_fract_z
Zr1 Zr 0.000 0.000 0.000
Cl1 Cl 0.000 0.000 0.500
Cl2 Cl 0.250 0.250 0.250


Record 4
# TcSn2, relaxed, DFT PBE-GGA
# Energy relative to the lowest polymorph listed for this composition in eV per atom: 0.193
# Formation energy in eV per atom: 0.18
# Total magnetic moment in Bohr magnetons per cell: 0.00
data_TcSn2
_chemical_formula_sum 'Tc2 Sn4'
_cell_length_a 4.992
_cell_length_b 4.985
_cell_length_c 5.361
_cell_angle_alpha 90.00
_cell_angle_beta 117.56
_cell_angle_gamma 90.00
_symmetry_space_group_name_H-M 'C 1 2/m 1'
_symmetry_Int_Tables_number 12
loop_
_symmetry_equiv_pos_as_xyz
'x,y,z'
'-x,-y,-z'
'-x,y,-z'
'x,-y,z'
'x+1/2,y+1/2,z'
'-x+1/2,-y+1/2,-z'
'-x+1/2,y+1/2,-z'
'x+1/2,-y+1/2,z'
loop_
_atom_site_label
_atom_site_type_symbol
_atom_site_fract_x
_atom_site_fract_y
_atom_site_fract_z
Tc1 Tc 0.000 0.000 0.000
Sn1 Sn 0.154 0.500 0.308


total magnetic moment of number 1 (Y2PtAu2)?
0.00 Bohr magnetons per cell